# TiSeBrN2

A relaxed TiSeBrN2 crystal (PBE, Alexandria).

Cell: 3.8906 3.8906 5.8239 Å, 90.00 90.00 90.00°
Last column: nearest neighbours and their distance in Å.
Atoms (fractional coordinates):
Ti (0.0000, 0.0000, 0.0000)  4 N 1.95
Se (0.0000, 0.0000, 0.5000)  4 Br 2.75, 2 Ti 2.91
Br (0.5000, 0.5000, 0.5000)  4 Se 2.75
N (0.0000, 0.5000, 0.0000)  2 Ti 1.95
N (0.5000, 0.0000, 0.0000)  2 Ti 1.95


# TiSe2BrN

A relaxed TiSe2BrN crystal (PBE, Alexandria).

Cell: 5.1929 5.1929 3.6912 Å, 90.00 90.00 90.00°
Last column: nearest neighbours and their distance in Å.
Atoms (fractional coordinates):
Ti (0.0000, 0.0000, 0.0000)  8 Se 3.19
Se (0.0000, 0.5000, 0.5000)  2 Br 2.60
Se (0.5000, 0.0000, 0.5000)  2 Br 2.60
Br (0.5000, 0.5000, 0.5000)  2 N 1.85
N (0.5000, 0.5000, 0.0000)  2 Br 1.85


# TiSe2BrN

A relaxed TiSe2BrN crystal (PBE, Alexandria).

Cell: 4.9107 4.9107 5.2679 Å, 90.00 90.00 90.00°
Last column: nearest neighbours and their distance in Å.
Atoms (fractional coordinates):
Ti (0.0000, 0.0000, 0.0000)  4 Se 2.46, 2 Br 2.63
Se (0.0000, 0.5000, 0.0000)  2 Ti 2.46
Se (0.5000, 0.0000, 0.0000)  2 Ti 2.46
Br (0.0000, 0.0000, 0.5000)  2 Ti 2.63
N (0.5000, 0.5000, 0.5000)  4 Br 3.47, 8 Se 3.60


Number 1: ΔE_f (raw) 0.454 eV/atom, DOS at the Fermi energy 3.74 states/eV per cell. Number 2: ΔE_f (raw) 1.296 eV/atom, DOS at the Fermi energy 6.42 states/eV per cell. Number 3: ΔE_f (raw) 0.549 eV/atom, DOS at the Fermi energy 4.11 states/eV per cell.